(1)
A plane-wave DFT calculation with PBE-GGA was carried out for crystalline ZnCd2Br at its relaxed geometry.

a b c (Å): 6.590 6.590 6.590
angles (deg): 143.00 143.00 53.33
Fractional coordinates of all 4 atoms:
Br 0.750 0.250 0.500
Cd 0.000 0.000 0.000
Cd 0.250 0.750 0.500
Zn 0.500 0.500 0.000

Properties
Energy relative to the lowest polymorph listed for this composition, meV per atom: 168
Crystal system: tetragonal
Energy relative to the elements, uncorrected, eV per formula unit: 0.09

***

(2)
A plane-wave DFT calculation with PBE-GGA was carried out for crystalline BeCuGeRu at its relaxed geometry.

a b c (Å): 4.110 4.110 4.110
angles (deg): 60.00 60.00 60.00
Fractional coordinates of all 4 atoms:
Ru 0.500 0.500 0.500
Ge 0.250 0.250 0.250
Cu 0.000 0.000 0.000
Be 0.750 0.750 0.750

Properties
Crystal system: cubic
Formation enthalpy at 0 K, eV/atom: -0.041

***

(3)
A plane-wave DFT calculation with PBE-GGA was carried out for crystalline Tm2InHg4 at its relaxed geometry.

a b c (Å): 5.540 5.540 7.343
angles (deg): 112.16 112.16 90.00
Fractional coordinates of all 7 atoms:
Tm 0.640 0.640 0.280
Tm 0.360 0.360 0.720
In 0.000 0.000 0.000
Hg 0.750 0.250 0.500
Hg 0.250 0.750 0.500
Hg 0.500 0.000 0.000
Hg 0.000 0.500 0.000

Properties
Energy relative to the lowest polymorph listed for this composition, meV per atom: 174
Crystal system: tetragonal
Formation enthalpy at 0 K, eV/atom: -0.088

***

(4)
A plane-wave DFT calculation with PBE-GGA was carried out for crystalline LiAl4Ni at its relaxed geometry.

a b c (Å): 4.948 6.560 6.560
angles (deg): 112.60 102.01 102.01
Fractional coordinates of all 12 atoms:
Li 0.250 0.397 0.603
Li 0.750 0.603 0.397
Al 0.144 0.392 0.182
Al 0.055 0.932 0.295
Al 0.356 0.818 0.608
Al 0.644 0.182 0.392
Al 0.856 0.608 0.818
Al 0.555 0.295 0.932
Al 0.445 0.705 0.068
Al 0.945 0.068 0.705
Ni 0.750 0.003 0.997
Ni 0.250 0.997 0.003

Properties
Energy relative to the lowest polymorph listed for this composition, meV per atom: 0
Crystal system: monoclinic
Formation enthalpy at 0 K, eV/atom: -0.224

***

(5)
A plane-wave DFT calculation with PBE-GGA was carried out for crystalline Ac3LaHo at its relaxed geometry.

a b c (Å): 7.561 10.060 9.323
angles (deg): 135.93 90.00 112.07
Fractional coordinates of all 10 atoms:
Ac 0.095 0.691 0.308
Ac 0.756 0.512 0.514
Ac 0.596 0.691 0.308
Ac 0.404 0.309 0.692
Ac 0.905 0.309 0.692
Ac 0.244 0.488 0.486
La 0.555 0.110 0.888
La 0.445 0.890 0.112
Ho 0.058 0.115 0.885
Ho 0.942 0.885 0.115

Properties
Energy relative to the lowest polymorph listed for this composition, meV per atom: 125
Crystal system: monoclinic
Formation enthalpy at 0 K, eV/atom: 0.173

***

(6)
A plane-wave DFT calculation with PBE-GGA was carried out for crystalline PmTm2Ir at its relaxed geometry.

a b c (Å): 6.403 7.267 9.200
angles (deg): 90.00 90.00 90.00
Fractional coordinates of all 16 atoms:
Pm 0.631 0.533 0.250
Pm 0.869 0.033 0.250
Pm 0.369 0.467 0.750
Pm 0.131 0.967 0.750
Tm 0.168 0.675 0.064
Tm 0.332 0.175 0.436
Tm 0.832 0.325 0.564
Tm 0.668 0.825 0.936
Tm 0.832 0.325 0.936
Tm 0.668 0.825 0.564
Tm 0.168 0.675 0.436
Tm 0.332 0.175 0.064
Ir 0.062 0.382 0.250
Ir 0.438 0.882 0.250
Ir 0.938 0.618 0.750
Ir 0.562 0.118 0.750

Properties
Energy relative to the lowest polymorph listed for this composition, meV per atom: 0
Crystal system: orthorhombic
Formation enthalpy at 0 K, eV/atom: -0.579

***

(7)
A plane-wave DFT calculation with PBE-GGA was carried out for crystalline Y2CdGe4Pt3 at its relaxed geometry.

a b c (Å): 4.226 4.226 10.899
angles (deg): 90.00 90.00 90.00
Fractional coordinates of all 10 atoms:
Y 0.500 0.000 0.250
Y 0.000 0.500 0.750
Cd 0.500 0.500 0.500
Ge 0.500 0.500 0.000
Ge 0.000 0.000 0.000
Ge 0.500 0.000 0.649
Ge 0.000 0.500 0.351
Pt 0.000 0.000 0.500
Pt 0.500 0.000 0.872
Pt 0.000 0.500 0.128

Properties
Crystal system: tetragonal
Formation enthalpy at 0 K, eV/atom: -0.751

***

(8)
A plane-wave DFT calculation with PBE-GGA was carried out for crystalline SrP2Br at its relaxed geometry.

a b c (Å): 8.475 8.475 8.475
angles (deg): 28.66 28.66 28.66
Fractional coordinates of all 4 atoms:
Br 0.773 0.773 0.773
P 0.941 0.941 0.941
P 0.273 0.273 0.273
Sr 0.514 0.514 0.514

Properties
Energy relative to the lowest polymorph listed for this composition, meV per atom: 66
Crystal system: trigonal
Energy relative to the elements, uncorrected, eV per formula unit: -3.04

***

(9)
A plane-wave DFT calculation with PBE-GGA was carried out for crystalline KTlPO2 at its relaxed geometry.

a b c (Å): 4.559 4.559 5.208
angles (deg): 90.00 90.00 90.00
Fractional coordinates of all 5 atoms:
P 0.000 0.000 0.500
Tl 0.000 0.000 0.000
K 0.500 0.500 0.500
O 0.000 0.500 0.000
O 0.500 0.000 0.000

Properties
Energy relative to the lowest polymorph listed for this composition, meV per atom: 0
Crystal system: tetragonal
Energy relative to the elements, uncorrected, eV per formula unit: 0.75

***

(10)
A plane-wave DFT calculation with PBE-GGA was carried out for crystalline ErNbSi2O8 at its relaxed geometry.

a b c (Å): 5.622 5.622 5.622
angles (deg): 106.50 106.50 115.58
Fractional coordinates of all 12 atoms:
Er 0.250 0.750 0.500
Nb 0.000 0.000 0.000
Si 0.750 0.250 0.500
Si 0.500 0.500 0.000
O 0.387 0.079 0.308
O 0.310 0.485 0.175
O 0.310 0.135 0.825
O 0.771 0.079 0.692
O 0.865 0.690 0.175
O 0.921 0.229 0.308
O 0.921 0.613 0.692
O 0.515 0.690 0.825

Properties
Crystal system: tetragonal
Energy relative to the elements, uncorrected, eV per formula unit: -34.52

***

(11)
A plane-wave DFT calculation with PBE-GGA was carried out for crystalline PmHo2Tm2 at its relaxed geometry.

a b c (Å): 9.357 9.357 3.649
angles (deg): 90.00 90.00 90.00
Fractional coordinates of all 10 atoms:
Pm 0.000 0.000 0.000
Pm 0.500 0.500 0.000
Ho 0.327 0.827 0.500
Ho 0.827 0.673 0.500
Ho 0.673 0.173 0.500
Ho 0.173 0.327 0.500
Tm 0.123 0.623 0.000
Tm 0.623 0.877 0.000
Tm 0.877 0.377 0.000
Tm 0.377 0.123 0.000

Properties
Energy relative to the lowest polymorph listed for this composition, meV per atom: 0
Crystal system: tetragonal
Formation enthalpy at 0 K, eV/atom: 0.086

***

(12)
A plane-wave DFT calculation with PBE-GGA was carried out for crystalline Ce2Pa3S8 at its relaxed geometry.

a b c (Å): 6.670 8.009 8.164
angles (deg): 119.37 106.91 90.00
Fractional coordinates of all 13 atoms:
Ce 0.336 0.262 0.524
Ce 0.664 0.738 0.476
Pa 0.500 0.000 0.000
Pa 0.000 0.255 0.000
Pa 0.000 0.745 0.000
S 0.922 0.613 0.226
S 0.078 0.387 0.774
S 0.921 0.117 0.233
S 0.079 0.883 0.767
S 0.586 0.646 0.755
S 0.586 0.109 0.755
S 0.414 0.891 0.245
S 0.414 0.354 0.245

Properties
Energy relative to the lowest polymorph listed for this composition, meV per atom: 33
Crystal system: monoclinic
Energy relative to the elements, uncorrected, eV per formula unit: -21.81

***

Copy entry 7 word for word.
A plane-wave DFT calculation with PBE-GGA was carried out for crystalline Y2CdGe4Pt3 at its relaxed geometry.

a b c (Å): 4.226 4.226 10.899
angles (deg): 90.00 90.00 90.00
Fractional coordinates of all 10 atoms:
Y 0.500 0.000 0.250
Y 0.000 0.500 0.750
Cd 0.500 0.500 0.500
Ge 0.500 0.500 0.000
Ge 0.000 0.000 0.000
Ge 0.500 0.000 0.649
Ge 0.000 0.500 0.351
Pt 0.000 0.000 0.500
Pt 0.500 0.000 0.872
Pt 0.000 0.500 0.128

Properties
Crystal system: tetragonal
Formation enthalpy at 0 K, eV/atom: -0.751